GGA-PBEsol BaZrP4, relaxed; formation energy from the elements = -9 meV/atom; total magnetic moment = 0.00 μB per cell; E = -34.46 eV/cell
1.0
-0.3397 -0.3532 -5.3793
3.5233 -3.0474 -2.7344
-1.6315 -4.6037 -2.3067
P Ba Zr
4 1 1
Cartesian
2.2338 -4.4886 -5.2703
0.5957 -3.0718 -3.9990
-0.1628 -5.2122 -5.0714
0.4377 -3.2360 -6.5000
0.0000 0.0000 0.0000
1.1641 -6.0032 -7.8153